Crystalline InFeB2F8 at its relaxed geometry, computed with PBE with a Hubbard U.

Unit cell a=8.3749 b=8.3749 c=8.3749 alpha=35.36 beta=35.36 gamma=35.36
Element x y z (fractional)
In1 0.0000 0.0000 0.0000
Fe1 0.5000 0.5000 0.5000
B1 0.2439 0.2439 0.2439
B2 0.7561 0.7561 0.7561
F1 0.0411 0.7710 0.5130
F2 0.2290 0.4870 0.9589
F3 0.3048 0.3048 0.3048
F4 0.4870 0.9589 0.2290
F5 0.5130 0.0411 0.7710
F6 0.6952 0.6952 0.6952
F7 0.7710 0.5130 0.0411
F8 0.9589 0.2290 0.4870

Summary:
As for the density: 3.25 g cm⁻³. Its space group is R-3. The total magnetic moment comes out at 3.00 μB/f.u. The total energy is -65.2 eV per cell.